Entry 1:
{
  "formula": "SrLa3Ti2Co2O12",
  "functional": "GGA-PBEsol",
  "state": "optimized geometry",
  "lattice": [[5.418, 0.000, 0.000], [0.000, 5.418, 0.000], [0.000, 0.000, 7.648]],
  "species": ["Co", "Co", "O", "O", "O", "O", "O", "O", "O", "O", "O", "O", "O", "O", "Ti", "Ti", "La", "La", "La", "Sr"],
  "fractional_positions": [[0.500, 0.000, 0.749], [0.000, 0.500, 0.251], [0.755, 0.249, 0.255], [0.249, 0.755, 0.745], [0.000, 0.500, 0.002], [0.751, 0.245, 0.745], [0.751, 0.755, 0.745], [0.500, 0.000, 0.998], [0.245, 0.249, 0.255], [0.000, 0.500, 0.498], [0.245, 0.751, 0.255], [0.755, 0.751, 0.255], [0.500, 0.000, 0.502], [0.249, 0.245, 0.745], [0.000, 0.500, 0.753], [0.500, 0.000, 0.247], [0.500, 0.500, 0.500], [0.000, 0.000, 0.500], [0.000, 0.000, 0.000], [0.500, 0.500, 0.000]],
  "n_ef_per_ev_cell": 3.6,
  "sg": "No. 115",
  "dft_energy_ev_per_atom": -8.45,
  "e_form_raw_mev_per_atom": -2802
}

***

Entry 2:
{
  "formula": "La2Ti2CoO8",
  "functional": "GGA-PBEsol",
  "state": "optimized geometry",
  "lattice": [[3.652, 0.000, 0.000], [0.000, 3.652, 0.000], [0.000, 0.000, 12.569]],
  "species": ["Ti", "Ti", "La", "La", "Co", "O", "O", "O", "O", "O", "O", "O", "O"],
  "fractional_positions": [[0.000, 0.500, 0.298], [0.500, 0.000, 0.702], [0.500, 0.000, 0.116], [0.000, 0.500, 0.884], [0.500, 0.500, 0.500], [0.000, 0.000, 0.747], [0.500, 0.500, 0.748], [0.500, 0.000, 0.926], [0.000, 0.000, 0.253], [0.500, 0.500, 0.252], [0.000, 0.500, 0.442], [0.500, 0.000, 0.558], [0.000, 0.500, 0.074]],
  "n_ef_per_ev_cell": 3.5,
  "sg": "No. 115",
  "dft_energy_ev_per_atom": -8.78,
  "e_form_raw_mev_per_atom": -2853
}

***

Entry 3:
{
  "formula": "La2Ti3CoO10",
  "functional": "GGA-PBEsol",
  "state": "optimized geometry",
  "lattice": [[-0.125, 3.406, 1.658], [-2.468, -1.332, 2.550], [11.435, -4.548, 5.873]],
  "species": ["O", "O", "O", "O", "O", "O", "O", "O", "O", "O", "Ti", "Ti", "Ti", "La", "La", "Co"],
  "fractional_positions": [[0.642, 0.142, 0.283], [0.141, 0.641, 0.283], [0.072, 0.072, 0.145], [0.928, 0.928, 0.855], [0.226, 0.226, 0.452], [0.774, 0.774, 0.548], [0.858, 0.358, 0.717], [0.359, 0.859, 0.717], [0.500, 0.000, 0.001], [0.000, 0.500, 0.999], [0.000, 0.000, 0.000], [0.842, 0.842, 0.683], [0.158, 0.158, 0.317], [0.580, 0.580, 0.161], [0.420, 0.420, 0.839], [0.750, 0.250, 0.500]],
  "n_ef_per_ev_cell": 4.8,
  "sg": "No. 119",
  "dft_energy_ev_per_atom": -8.91,
  "e_form_raw_mev_per_atom": -2912
}

***

Entry 4:
{
  "formula": "La2TiCoO6",
  "functional": "GGA-PBEsol",
  "state": "optimized geometry",
  "lattice": [[-5.285, 1.323, -0.537], [-0.770, -4.374, -3.202], [-1.692, -4.243, 6.202]],
  "species": ["O", "O", "O", "O", "O", "O", "O", "O", "O", "O", "O", "O", "Ti", "Ti", "La", "La", "La", "La", "Co", "Co"],
  "fractional_positions": [[0.221, 0.283, 0.964], [0.779, 0.717, 0.036], [0.716, 0.220, 0.037], [0.216, 0.280, 0.537], [0.279, 0.783, 0.536], [0.932, 0.989, 0.749], [0.784, 0.720, 0.463], [0.284, 0.780, 0.963], [0.721, 0.217, 0.464], [0.068, 0.011, 0.251], [0.432, 0.511, 0.249], [0.568, 0.489, 0.751], [0.000, 0.000, 0.500], [0.500, 0.500, 0.000], [0.495, 0.030, 0.749], [0.995, 0.470, 0.249], [0.505, 0.970, 0.251], [0.005, 0.530, 0.751], [0.000, 0.000, 0.000], [0.500, 0.500, 0.500]],
  "n_ef_per_ev_cell": 5.2,
  "sg": "No. 14",
  "dft_energy_ev_per_atom": -8.69,
  "e_form_raw_mev_per_atom": -2869
}

***

Entry 5:
{
  "formula": "LaCoOs2",
  "functional": "GGA-PBEsol",
  "state": "optimized geometry",
  "lattice": [[2.888, 0.000, 0.000], [0.000, 4.876, 0.000], [-1.444, -2.438, 4.766]],
  "species": ["Os", "Os", "La", "Co"],
  "fractional_positions": [[0.028, 0.028, 0.056], [0.755, 0.255, 0.511], [0.245, 0.745, 0.490], [0.472, 0.472, 0.944]],
  "formation_energy_ev_per_fu": 2.64,
  "n_ef_per_ev_cell": 5.0,
  "sg": "No. 44",
  "dft_energy_ev_per_atom": -8.72
}

***

Entry 6:
{
  "formula": "LaCoOs2",
  "functional": "GGA-PBEsol",
  "state": "optimized geometry",
  "lattice": [[2.843, 0.000, -0.106], [0.000, 4.340, 0.000], [-0.915, 0.000, 5.499]],
  "species": ["Co", "La", "Os", "Os"],
  "fractional_positions": [[0.500, 0.500, 0.000], [0.000, 0.500, 0.500], [0.680, 0.000, 0.805], [0.320, 0.000, 0.195]],
  "formation_energy_ev_per_fu": 2.28,
  "n_ef_per_ev_cell": 5.9,
  "sg": "No. 10",
  "dft_energy_ev_per_atom": -8.81
}